#w
Ag3WCl | GGA-PBE | relaxed

Summary:
- Fermi-level density of states (states/eV/cell) = 1.440
- crystal system = cubic

Unit cell a=4.9448 b=4.9448 c=4.9448 alpha=90.00 beta=90.00 gamma=90.00
With the nearest neighbours (Å) after each atom.
Element x y z (fractional)
1 Ag 0.0000 0.0000 0.5000  2 Cl 2.47
2 Ag 0.0000 0.5000 0.0000  2 Cl 2.47
3 Ag 0.5000 0.0000 0.0000  2 Cl 2.47
4 W 0.5000 0.5000 0.5000  12 Ag 3.50
5 Cl 0.0000 0.0000 0.0000  6 Ag 2.47

=====

#x
Ag3WCl | GGA-PBE | relaxed

Summary:
- Fermi-level density of states (states/eV/cell) = 2.844
- crystal system = cubic

Unit cell a=5.1679 b=5.1679 c=5.1679 alpha=90.00 beta=90.00 gamma=90.00
With the nearest neighbours (Å) after each atom.
Element x y z (fractional)
1 Ag 0.0000 0.0000 0.5000  2 W 2.58
2 Ag 0.0000 0.5000 0.0000  2 W 2.58
3 Ag 0.5000 0.0000 0.0000  2 W 2.58
4 W 0.0000 0.0000 0.0000  6 Ag 2.58
5 Cl 0.5000 0.5000 0.5000  12 Ag 3.65

=====

Stability comparison, relative energies in eV/atom: #w 0.000; #x 0.040

=====

#w
YAgCl3 | GGA-PBE | relaxed

Summary:
- Fermi-level density of states (states/eV/cell) = 2.633
- crystal system = cubic

Unit cell a=5.3096 b=5.3096 c=5.3096 alpha=90.00 beta=90.00 gamma=90.00
With the nearest neighbours (Å) after each atom.
Element x y z (fractional)
1 Y 0.0000 0.0000 0.0000  6 Cl 2.65
2 Ag 0.5000 0.5000 0.5000  12 Cl 3.75
3 Cl 0.0000 0.0000 0.5000  2 Y 2.65
4 Cl 0.0000 0.5000 0.0000  2 Y 2.65
5 Cl 0.5000 0.0000 0.0000  2 Y 2.65

=====

#x
YAgCl3 | GGA-PBE | relaxed

Summary:
- Fermi-level density of states (states/eV/cell) = 4.229
- crystal system = cubic

Unit cell a=5.1061 b=5.1061 c=5.1061 alpha=90.00 beta=90.00 gamma=90.00
With the nearest neighbours (Å) after each atom.
Element x y z (fractional)
1 Y 0.0000 0.0000 0.0000  12 Cl 3.61
2 Ag 0.5000 0.5000 0.5000  6 Cl 2.55
3 Cl 0.0000 0.5000 0.5000  2 Ag 2.55
4 Cl 0.5000 0.0000 0.5000  2 Ag 2.55
5 Cl 0.5000 0.5000 0.0000  2 Ag 2.55

=====

Stability comparison, relative energies in eV/atom: #w 0.000; #x 0.678

=====

#w
YAg3Cl6 | GGA-PBE | relaxed

Summary:
- Fermi-level density of states (states/eV/cell) = 0.000
- crystal system = trigonal

Unit cell a=7.3606 b=7.3606 c=7.3606 alpha=56.67 beta=56.67 gamma=56.67
With the nearest neighbours (Å) after each atom.
Element x y z (fractional)
1 Y 0.0000 0.0000 0.0000  6 Cl 2.66
2 Ag 0.2045 0.2045 0.2045  3 Cl 2.64
3 Ag 0.5000 0.5000 0.5000  6 Cl 2.78
4 Ag 0.7955 0.7955 0.7955  3 Cl 2.64
5 Cl 0.1026 0.7696 0.3835  2 Ag 2.64-2.78, 1 Y 2.66
6 Cl 0.2304 0.6165 0.8974  2 Ag 2.64-2.78, 1 Y 2.66
7 Cl 0.3835 0.1026 0.7696  2 Ag 2.64-2.78, 1 Y 2.66
8 Cl 0.6165 0.8974 0.2304  2 Ag 2.64-2.78, 1 Y 2.66
9 Cl 0.7696 0.3835 0.1026  2 Ag 2.64-2.78, 1 Y 2.66
10 Cl 0.8974 0.2304 0.6165  2 Ag 2.64-2.78, 1 Y 2.66

=====

#x
YAg3Cl6 | GGA-PBE | relaxed

Summary:
- Fermi-level density of states (states/eV/cell) = 0.000
- crystal system = monoclinic

Unit cell a=6.9419 b=6.8978 c=12.5208 alpha=90.00 beta=122.09 gamma=90.00
With the nearest neighbours (Å) after each atom.
Element x y z (fractional)
1 Y 0.0000 0.0000 0.0000  6 Cl 2.64-2.69
2 Y 0.0000 0.5000 0.5000  6 Cl 2.64-2.69
3 Ag 0.2663 0.0377 0.7589  4 Cl 2.63-2.76
4 Ag 0.2663 0.4623 0.2589  4 Cl 2.63-2.76
5 Ag 0.5000 0.0000 0.5000  4 Cl 2.62-2.85
6 Ag 0.5000 0.5000 0.0000  4 Cl 2.62-2.85
7 Ag 0.7337 0.5377 0.7411  4 Cl 2.63-2.76
8 Ag 0.7337 0.9623 0.2411  4 Cl 2.63-2.76
9 Cl 0.0708 0.1770 0.4124  2 Ag 2.63-2.85, 1 Y 2.64
10 Cl 0.0708 0.3230 0.9124  2 Ag 2.63-2.85, 1 Y 2.64
11 Cl 0.2751 0.6733 0.4420  2 Ag 2.62-2.69, 1 Y 2.66
12 Cl 0.2751 0.8267 0.9420  2 Ag 2.62-2.69, 1 Y 2.66
13 Cl 0.3505 0.1015 0.2296  2 Ag 2.63-2.76, 1 Y 2.69
14 Cl 0.3505 0.3985 0.7296  2 Ag 2.63-2.76, 1 Y 2.69
15 Cl 0.6495 0.6015 0.2704  2 Ag 2.63-2.76, 1 Y 2.69
16 Cl 0.6495 0.8985 0.7704  2 Ag 2.63-2.76, 1 Y 2.69
17 Cl 0.7249 0.1733 0.0580  2 Ag 2.62-2.69, 1 Y 2.66
18 Cl 0.7249 0.3267 0.5580  2 Ag 2.62-2.69, 1 Y 2.66
19 Cl 0.9292 0.6770 0.0876  2 Ag 2.63-2.85, 1 Y 2.64
20 Cl 0.9292 0.8230 0.5876  2 Ag 2.63-2.85, 1 Y 2.64

=====

Stability comparison, relative energies in eV/atom: #w 0.000; #x 0.007

=====

#w
YAgCl | GGA-PBE | relaxed

Summary:
- Fermi-level density of states (states/eV/cell) = 2.612
- crystal system = cubic

Unit cell a=4.7104 b=4.7104 c=4.7104 alpha=60.00 beta=60.00 gamma=60.00
With the nearest neighbours (Å) after each atom.
Element x y z (fractional)
1 Y 0.0000 0.0000 0.0000  4 Cl 2.88
2 Ag 0.5000 0.5000 0.5000  4 Cl 2.88
3 Cl 0.7500 0.7500 0.7500  4 Ag 2.88, 4 Y 2.88

=====

#x
YAgCl | GGA-PBE | relaxed

Summary:
- Fermi-level density of states (states/eV/cell) = 2.960
- crystal system = orthorhombic

Unit cell a=14.6638 b=3.6089 c=3.6089 alpha=59.99 beta=90.00 gamma=90.00
With the nearest neighbours (Å) after each atom.
Element x y z (fractional)
1 Y 0.1501 0.0000 0.0000  3 Cl 2.78, 3 Ag 3.03
2 Y 0.8499 0.0000 0.0000  3 Cl 2.78, 3 Ag 3.03
3 Ag 0.0000 0.6667 0.6667  6 Y 3.03
4 Ag 0.5000 0.6454 0.6454  2 Cl 3.30, 6 Ag 3.61
5 Cl 0.2754 0.6666 0.6666  3 Y 2.78
6 Cl 0.7246 0.6666 0.6666  3 Y 2.78

=====

Stability comparison, relative energies in eV/atom: #w 0.369; #x 0.000

=====

#w
YAgCl | GGA-PBE | relaxed

Summary:
- Fermi-level density of states (states/eV/cell) = 2.232
- crystal system = trigonal

Unit cell a=3.7057 b=3.7057 c=7.1819 alpha=90.00 beta=90.00 gamma=120.00
With the nearest neighbours (Å) after each atom.
Element x y z (fractional)
1 Y 0.0000 0.0000 0.0000  3 Cl 2.77, 3 Ag 3.00
2 Ag 0.6667 0.3333 0.2931  3 Y 3.00
3 Cl 0.3333 0.6667 0.7542  3 Y 2.77

=====

#x
YAgCl | GGA-PBE | relaxed

Summary:
- Fermi-level density of states (states/eV/cell) = 2.120
- crystal system = tetragonal

Unit cell a=7.3213 b=7.3213 c=7.3213 alpha=153.07 beta=153.07 gamma=38.46
With the nearest neighbours (Å) after each atom.
Element x y z (fractional)
1 Y 0.0000 0.0000 0.0000  4 Cl 2.88, 4 Ag 3.11
2 Ag 0.6417 0.6417 0.0000  4 Y 3.11, 4 Ag 3.41
3 Cl 0.3855 0.3855 0.0000  4 Y 2.88

=====

#y
YAgCl | GGA-PBE | relaxed

Summary:
- Fermi-level density of states (states/eV/cell) = 3.162
- crystal system = cubic

Unit cell a=4.8378 b=4.8378 c=4.8378 alpha=60.00 beta=60.00 gamma=60.00
With the nearest neighbours (Å) after each atom.
Element x y z (fractional)
1 Y 0.0000 0.0000 0.0000  4 Cl 2.96, 4 Ag 2.96
2 Ag 0.7500 0.7500 0.7500  4 Y 2.96
3 Cl 0.2500 0.2500 0.2500  4 Y 2.96

=====

Stability comparison, relative energies in eV/atom: #w 0.000; #x 0.016; #y 0.293

=====

#w
YAg2Cl | GGA-PBE | relaxed

Summary:
- Fermi-level density of states (states/eV/cell) = 0.023
- crystal system = trigonal

Unit cell a=8.3186 b=8.3186 c=8.3186 alpha=26.18 beta=26.18 gamma=26.18
With the nearest neighbours (Å) after each atom.
Element x y z (fractional)
1 Y 0.0000 0.0000 0.0000  6 Ag 3.03
2 Ag 0.2459 0.2459 0.2459  3 Cl 2.89, 3 Y 3.03
3 Ag 0.7541 0.7541 0.7541  3 Cl 2.89, 3 Y 3.03
4 Cl 0.5000 0.5000 0.5000  6 Ag 2.89

=====

#x
YAg2Cl | GGA-PBE | relaxed

Summary:
- Fermi-level density of states (states/eV/cell) = 1.576
- crystal system = tetragonal

Unit cell a=4.9564 b=4.9564 c=4.9564 alpha=120.13 beta=120.13 gamma=89.77
With the nearest neighbours (Å) after each atom.
Element x y z (fractional)
1 Y 0.0000 0.0000 0.0000  4 Cl 3.03, 4 Ag 3.03
2 Ag 0.2500 0.7500 0.5000  4 Ag 3.03, 4 Y 3.03
3 Ag 0.5000 0.5000 0.0000  4 Cl 3.03, 4 Ag 3.03
4 Cl 0.7500 0.2500 0.5000  4 Ag 3.03, 4 Y 3.03

=====

Stability comparison, relative energies in eV/atom: #w 0.155; #x 0.000